! NaBiMo2O8 (PBE with a Hubbard U, relaxed); values from VASP
! Total magnetization, Bohr magnetons per cell: 0.00
! Energy above the lowest structure with this stoichiometry, meV/atom: 0.0
&SYSTEM
  ibrav = 0, nat = 12, ntyp = 4
/
ATOMIC_SPECIES
Na 22.99 Na.upf
Bi 208.98 Bi.upf
Mo 95.94 Mo.upf
O 16.00 O.upf
CELL_PARAMETERS angstrom
-5.337 -2.351 3.760
1.829 -4.179 5.229
2.048 6.251 -2.212
ATOMIC_POSITIONS crystal
Na 0.750 0.250 0.500
Bi 0.500 0.500 0.000
Mo 0.000 0.000 0.000
Mo 0.250 0.750 0.500
O 0.482 0.078 0.886
O 0.192 0.596 0.114
O 0.922 0.808 0.404
O 0.404 0.518 0.596
O 0.325 0.926 0.087
O 0.839 0.238 0.913
O 0.074 0.161 0.398
O 0.762 0.675 0.602